The following is a DFT calculation (SCAN) of a crystal of CuAg2Au relaxed with PBEsol.

Results
**Formation energy**: -0.0027 eV/atom
**Spin magnetization**: 0.0 μB per cell
**Distance to the lowest polymorph of the same formula**: 11 meV/atom

Cell lengths 3.9253, 3.9253, 4.0129 Å; angles 90.00, 90.00, 90.00 degrees
Fractional positions:
1 Au 0.5000 0.5000 0.5000
2 Ag 0.5000 0.0000 0.0000
3 Ag 0.0000 0.5000 0.0000
4 Cu 0.0000 0.0000 0.5000

***

The following is a DFT calculation (SCAN) of a crystal of Cu2AgAu relaxed with PBEsol.

Results
**Formation energy**: 0.0019 eV/atom
**Spin magnetization**: 0.0 μB per cell
**Distance to the lowest polymorph of the same formula**: 15 meV/atom

Cell lengths 2.7684, 4.5767, 4.5767 Å; angles 103.90, 90.00, 90.00 degrees
Fractional positions:
1 Au 0.5000 0.5000 0.5000
2 Ag 0.5000 0.0000 0.0000
3 Cu 0.0000 0.5000 0.0000
4 Cu 0.0000 0.0000 0.5000

***

The following is a DFT calculation (SCAN) of a crystal of Cu2AgAu relaxed with PBEsol.

Results
**Formation energy**: -0.0105 eV/atom
**Spin magnetization**: 0.0 μB per cell
**Distance to the lowest polymorph of the same formula**: 2 meV/atom

Cell lengths 4.3010, 4.3010, 4.3010 Å; angles 60.00, 60.00, 60.00 degrees
Fractional positions:
1 Ag 0.0000 0.0000 0.0000
2 Cu 0.2500 0.2500 0.2500
3 Cu 0.7500 0.7500 0.7500
4 Au 0.5000 0.5000 0.5000

***

The following is a DFT calculation (SCAN) of a crystal of CuAgAu2 relaxed with PBEsol.

Results
**Formation energy**: -0.0470 eV/atom
**Spin magnetization**: 0.0 μB per cell
**Distance to the lowest polymorph of the same formula**: 45 meV/atom

Cell lengths 3.9591, 3.9639, 3.9639 Å; angles 90.00, 90.00, 90.00 degrees
Fractional positions:
1 Cu 0.5000 0.5000 0.5000
2 Au 0.0000 0.5000 0.0000
3 Au 0.0000 0.0000 0.5000
4 Ag 0.5000 0.0000 0.0000

***

- Look up the spin magnetization of the third one.
  0.0 μB per cell